Entry 1:
10
Lattice="7.309 0.000 0.000 -3.654 6.330 0.000 0.000 0.000 6.065" Properties=species:S:1:pos:R:3 comment="CaMg3In PBE optimized geometry" e_above_lowest_polymorph_mev_per_atom=0.0 mass_density_g_cm3=2.7 formation_energy_kcal_per_mol_atoms=0.0 pbc="T T T"
Ca 0.000 4.220 1.516
Ca 3.654 2.110 4.549
Mg 0.000 2.498 4.549
Mg -1.491 5.080 4.549
Mg 2.164 1.249 1.516
Mg 1.491 5.080 4.549
Mg 5.145 1.249 1.516
Mg 3.654 3.831 1.516
In 0.000 0.000 0.000
In 0.000 0.000 3.032

Entry 2:
5
Lattice="-1.988 1.988 5.652 1.988 -1.988 5.652 1.988 1.988 -5.652" Properties=species:S:1:pos:R:3 comment="YNi2Au2 PBE optimized geometry" e_above_lowest_polymorph_mev_per_atom=0.0 mass_density_g_cm3=11.2 formation_energy_kcal_per_mol_atoms=-7.3 pbc="T T T"
Y 0.000 0.000 0.000
Ni 0.000 0.000 4.539
Ni 0.000 0.000 6.766
Au 1.988 0.000 2.826
Au 0.000 1.988 2.826

Entry 3:
4
Lattice="3.598 0.000 0.000 0.000 3.598 0.000 0.000 0.000 3.952" Properties=species:S:1:pos:R:3 comment="TaNi2P PBE optimized geometry" mass_density_g_cm3=10.7 formation_energy_kcal_per_mol_atoms=-7.7 pbc="T T T"
Ta 0.000 0.000 0.000
Ni 0.000 1.799 1.976
Ni 1.799 0.000 1.976
P 1.799 1.799 0.000

Entry 4:
3
Lattice="4.734 0.000 0.000 -2.367 4.100 0.000 0.000 0.000 4.323" Properties=species:S:1:pos:R:3 comment="ErTlSn PBE optimized geometry" e_above_lowest_polymorph_mev_per_atom=71.7 mass_density_g_cm3=9.7 formation_energy_kcal_per_mol_atoms=-5.5 pbc="T T T"
Er 0.000 0.000 0.000
Tl 2.367 1.367 2.872
Sn 0.000 2.733 1.565

Entry 5:
5
Lattice="-3.136 3.136 2.637 3.136 -3.136 2.637 3.136 3.136 -2.637" Properties=species:S:1:pos:R:3 comment="Sc4Fe PBE optimized geometry" e_above_lowest_polymorph_mev_per_atom=10.0 mass_density_g_cm3=3.8 formation_energy_kcal_per_mol_atoms=1.9 pbc="T T T"
Sc 1.982 0.970 0.000
Sc 2.166 -1.154 2.637
Sc 0.970 4.290 0.000
Sc 1.154 2.166 2.637
Fe 0.000 0.000 2.637

Entry 6:
12
Lattice="4.416 0.000 0.000 -2.208 3.824 0.000 0.000 0.000 7.284" Properties=species:S:1:pos:R:3 comment="LiBe8Al3 PBE optimized geometry" mass_density_g_cm3=2.2 formation_energy_kcal_per_mol_atoms=0.3 pbc="T T T"
Li 0.000 0.000 0.000
Be -1.089 1.921 1.399
Be 0.000 1.296 5.012
Be -1.086 3.176 5.012
Be 0.000 2.550 3.217
Be 0.000 2.550 6.854
Be 1.089 1.921 1.399
Be 0.000 3.807 1.399
Be 1.086 3.176 5.012
Al 0.000 0.000 2.613
Al 2.208 1.275 3.676
Al 2.208 1.275 6.441

Entry 7:
4
Lattice="0.000 3.531 3.531 3.531 0.000 3.531 3.531 3.531 0.000" Properties=species:S:1:pos:R:3 comment="LaThCoRu PBE optimized geometry" mass_density_g_cm3=10.0 formation_energy_kcal_per_mol_atoms=-3.1 pbc="T T T"
La 0.000 0.000 0.000
Th 3.531 3.531 3.531
Co 5.296 5.296 5.296
Ru 1.765 1.765 1.765

Entry 8:
10
Lattice="9.317 0.000 0.000 0.000 9.317 0.000 0.000 0.000 4.441" Properties=species:S:1:pos:R:3 comment="CsSr2Ag2 PBE optimized geometry" e_above_lowest_polymorph_mev_per_atom=0.0 mass_density_g_cm3=4.5 formation_energy_kcal_per_mol_atoms=-1.7 pbc="T T T"
Cs 0.000 0.000 0.000
Cs 4.659 4.659 0.000
Sr 1.439 3.220 2.221
Sr 3.220 7.879 2.221
Sr 6.097 1.439 2.221
Sr 7.879 6.097 2.221
Ag 1.089 5.747 0.000
Ag 3.570 1.089 0.000
Ag 5.747 8.229 0.000
Ag 8.229 3.570 0.000

Entry 9:
5
Lattice="4.506 0.000 0.000 0.000 4.506 0.000 0.000 0.000 4.003" Properties=species:S:1:pos:R:3 comment="LiMgAg2B PBE optimized geometry" e_above_lowest_polymorph_mev_per_atom=562.7 mass_density_g_cm3=5.3 formation_energy_kcal_per_mol_atoms=17.1 pbc="T T T"
Li 0.000 0.000 0.000
Mg 2.253 2.253 2.002
Ag 0.000 2.253 0.000
Ag 2.253 0.000 0.000
B 0.000 0.000 2.002

Entry 10:
5
Lattice="7.583 0.000 0.000 0.000 7.583 0.000 0.000 0.000 5.456" Properties=species:S:1:pos:R:3 comment="Cs2KTlGe PBE optimized geometry" mass_density_g_cm3=3.1 formation_energy_kcal_per_mol_atoms=2.1 pbc="T T T"
Cs 0.000 3.792 0.000
Cs 3.792 0.000 0.000
K 0.000 0.000 2.728
Tl 3.792 3.792 2.728
Ge 3.792 3.792 0.000

Entry 11:
12
Lattice="2.539 -7.643 0.000 2.539 7.643 0.000 0.000 0.000 10.173" Properties=species:S:1:pos:R:3 comment="Nd3DyErTm PBE optimized geometry" mass_density_g_cm3=7.8 formation_energy_kcal_per_mol_atoms=0.5 pbc="T T T"
Nd 2.539 5.116 10.171
Nd 2.539 5.116 5.088
Nd 2.539 2.538 7.630
Nd 2.539 -2.538 2.543
Nd 2.539 -5.116 0.002
Nd 2.539 -5.116 5.085
Dy 2.539 0.000 0.000
Dy 2.539 0.000 5.086
Er 2.539 7.616 7.630
Er 2.539 -7.616 2.543
Tm 2.539 2.520 2.543
Tm 2.539 -2.520 7.630

Entry 12:
9
Lattice="7.786 -2.601 0.000 7.786 2.601 0.000 -2.603 0.000 7.779" Properties=species:S:1:pos:R:3 comment="LaPm2Nd4Sm2 PBE optimized geometry" mass_density_g_cm3=6.9 formation_energy_kcal_per_mol_atoms=0.3 pbc="T T T"
La 0.000 0.000 0.000
Pm -0.002 0.000 5.180
Pm 12.971 0.000 2.599
Nd 2.597 0.000 2.588
Nd 5.186 0.000 5.183
Nd 7.783 0.000 2.596
Nd 10.372 0.000 5.191
Sm 5.168 0.000 0.007
Sm 7.800 0.000 7.772

Entry 13:
8
Lattice="-2.787 2.787 6.170 2.787 -2.787 6.170 2.787 2.787 -6.170" Properties=species:S:1:pos:R:3 comment="BiRu2Se PBE optimized geometry" e_above_lowest_polymorph_mev_per_atom=0.0 mass_density_g_cm3=8.5 raw_formation_energy_ev_per_atom=0.4533 pbc="T T T"
Bi 0.000 0.000 0.000
Bi 0.000 2.787 3.085
Ru 1.394 -1.098 4.628
Ru 1.689 1.394 1.543
Ru 1.394 3.886 -1.543
Ru 1.098 1.394 7.713
Se 2.787 0.000 3.085
Se 0.000 0.000 6.170

Entry 14:
4
Lattice="3.989 -1.757 0.000 3.989 1.757 0.000 -1.457 0.000 5.988" Properties=species:S:1:pos:R:3 comment="ZnTeAu2 PBE optimized geometry" e_above_lowest_polymorph_mev_per_atom=45.5 mass_density_g_cm3=11.6 raw_formation_energy_ev_per_atom=-0.0311 pbc="T T T"
Zn 0.000 0.000 0.000
Te 3.260 0.000 2.994
Au 0.911 0.000 4.795
Au 5.609 0.000 1.193

Entry 15:
18
Lattice="4.889 0.000 0.000 -2.445 4.234 0.000 0.000 0.000 11.901" Properties=species:S:1:pos:R:3 comment="BaBTeO6 PBE optimized geometry" mass_density_g_cm3=5.0 raw_formation_energy_ev_per_atom=-1.3746 pbc="T T T"
Ba 0.000 0.000 0.000
Ba 0.000 0.000 5.950
B 0.000 2.823 2.975
B 2.445 1.411 8.925
Te 0.000 2.823 8.925
Te 2.445 1.411 2.975
O -0.823 1.708 1.924
O -1.377 2.667 4.026
O 0.823 1.708 4.026
O -0.554 4.093 1.924
O 1.891 0.141 7.874
O 1.067 1.567 9.977
O 1.377 2.667 1.924
O 0.554 4.093 4.026
O 2.999 0.141 9.977
O 1.621 2.526 7.874
O 3.822 1.567 7.874
O 3.268 2.526 9.977

Entry 16:
30
Lattice="2.891 0.000 0.000 -1.446 2.504 0.000 0.000 0.000 42.791" Properties=species:S:1:pos:R:3 comment="Na5B7C3 PBE optimized geometry" e_above_lowest_polymorph_mev_per_atom=42.7 mass_density_g_cm3=2.4 formation_energy_kcal_per_mol_atoms=3.6 pbc="T T T"
Na 0.000 0.000 0.000
Na 0.000 0.000 4.227
Na 0.000 0.000 8.573
Na 0.000 0.000 12.823
Na 0.000 0.000 17.169
Na 0.000 0.000 21.396
Na 0.000 0.000 25.623
Na 0.000 0.000 29.968
Na 0.000 0.000 34.219
Na 0.000 0.000 38.564
B 0.000 1.669 2.102
B 0.000 1.669 6.399
B 0.000 1.669 10.698
B 0.000 1.669 14.997
B 0.000 1.669 19.294
B 0.000 1.669 27.794
B 0.000 1.669 36.393
B 1.446 0.835 6.399
B 1.446 0.835 14.997
B 1.446 0.835 23.498
B 1.446 0.835 27.794
B 1.446 0.835 32.094
B 1.446 0.835 36.393
B 1.446 0.835 40.690
C 0.000 1.669 23.495
C 0.000 1.669 32.094
C 0.000 1.669 40.692
C 1.446 0.835 2.099
C 1.446 0.835 10.698
C 1.446 0.835 19.296

Entry 17:
4
Lattice="3.226 0.000 0.000 0.000 3.226 0.000 0.000 0.000 8.247" Properties=species:S:1:pos:R:3 comment="Zr2AgSb PBE optimized geometry" mass_density_g_cm3=8.0 raw_formation_energy_ev_per_atom=-0.1604 pbc="T T T"
Zr 0.000 0.000 2.014
Zr 0.000 0.000 6.233
Ag 1.613 1.613 0.000
Sb 1.613 1.613 4.124

Entry 18:
13
Lattice="3.670 2.119 9.070 -3.670 2.119 9.070 0.000 -4.238 9.070" Properties=species:S:1:pos:R:3 comment="CeSm8Er4 PBE optimized geometry" mass_density_g_cm3=7.9 formation_energy_kcal_per_mol_atoms=3.5 pbc="T T T"
Ce 0.000 0.000 0.000
Sm 0.000 -1.941 10.812
Sm -1.681 0.970 10.812
Sm 0.000 0.000 7.592
Sm -1.681 -0.970 16.398
Sm 1.681 0.970 10.812
Sm 0.000 0.000 19.618
Sm 1.681 -0.970 16.398
Sm 0.000 1.941 16.398
Er -3.670 0.000 13.605
Er -1.835 1.059 4.535
Er 1.835 1.059 4.535
Er 0.000 0.000 13.605

Entry 19:
4
Lattice="2.952 0.000 0.000 0.000 2.952 0.000 0.000 0.000 5.847" Properties=species:S:1:pos:R:3 comment="BeVRuPt PBE optimized geometry" mass_density_g_cm3=11.6 formation_energy_kcal_per_mol_atoms=-11.0 pbc="T T T"
Be 0.000 0.000 0.000
V 0.000 0.000 3.077
Ru 1.476 1.476 4.476
Pt 1.476 1.476 1.355

Entry 20:
10
Lattice="0.000 5.867 5.867 5.867 0.000 5.867 5.867 5.867 0.000" Properties=species:S:1:pos:R:3 comment="Rb2HgWBr6 PBE optimized geometry" mass_density_g_cm3=4.3 raw_formation_energy_ev_per_atom=-0.8602 pbc="T T T"
Rb 2.933 2.933 2.933
Rb 8.800 8.800 8.800
Hg 0.000 0.000 0.000
W 5.867 5.867 5.867
Br 5.867 5.867 3.310
Br 5.867 3.310 5.867
Br 8.423 5.867 5.867
Br 3.310 5.867 5.867
Br 5.867 8.423 5.867
Br 5.867 5.867 8.423